1.
Lu2Au: optimized geometry, PBE.

Values from the calculation:
Total magnetization (μB per formula unit): 0.00
Raw total energy (eV for the cell shown): -57.4

Cell lengths 6.9786, 4.8421, 8.7564 Å; angles 90.00, 90.00, 90.00 degrees
Closest atoms and distances in Å follow each position.
Space group Pnma (No. 62)
Unique sites:
Lu 0.0155 0.2500 0.1778  3 Au 2.90-3.09
Lu 0.1484 0.2500 0.5777  4 Au 2.84-2.98
Au 0.2418 0.2500 0.8998  7 Lu 2.84-3.09

***

2.
LuAu3: optimized geometry, PBE.

Values from the calculation:
Total magnetization (μB per formula unit): 0.00
Raw total energy (eV for the cell shown): -34.1

Cell lengths 4.3779, 4.3779, 8.1708 Å; angles 90.00, 90.00, 90.00 degrees
Closest atoms and distances in Å follow each position.
Space group I4/mmm (No. 139)
Unique sites:
Lu 0.0000 0.0000 0.0000  12 Au 2.99-3.10
Au 0.0000 0.0000 0.5000  8 Au 2.99, 4 Lu 3.10
Au 0.0000 0.5000 0.2500  4 Lu 2.99, 8 Au 2.99-3.10

***

3.
LuMgNiAu: optimized geometry, PBE.

Values from the calculation:
Total magnetization (μB per formula unit): 0.00
Raw total energy (eV for the cell shown): -69.1

Cell lengths 6.6378, 6.6378, 6.6378 Å; angles 90.00, 90.00, 90.00 degrees
Closest atoms and distances in Å follow each position.
Space group F-43m (No. 216)
Unique sites:
Lu 0.0000 0.0000 0.0000  4 Au 2.87, 4 Ni 2.87
Mg 0.0000 0.0000 0.5000  4 Ni 2.87, 4 Au 2.87
Ni 0.2500 0.2500 0.2500  4 Lu 2.87, 4 Mg 2.87
Au 0.2500 0.2500 0.7500  4 Mg 2.87, 4 Lu 2.87

***

4.
PmLuMgAu: optimized geometry, PBE.

Values from the calculation:
Total magnetization (μB per formula unit): 0.00
Raw total energy (eV for the cell shown): -62.8

Cell lengths 7.3718, 7.3718, 7.3718 Å; angles 90.00, 90.00, 90.00 degrees
Closest atoms and distances in Å follow each position.
Space group F-43m (No. 216)
Unique sites:
Pm 0.0000 0.0000 0.0000  4 Au 3.19, 4 Mg 3.19
Lu 0.0000 0.0000 0.5000  4 Mg 3.19, 4 Au 3.19
Mg 0.2500 0.2500 0.7500  4 Pm 3.19, 4 Lu 3.19
Au 0.2500 0.2500 0.2500  4 Lu 3.19, 4 Pm 3.19

***

5.
LuMgPtAu: optimized geometry, PBE.

Values from the calculation:
Total magnetization (μB per formula unit): 0.00
Raw total energy (eV for the cell shown): -76.7

Cell lengths 6.7350, 6.7350, 6.7350 Å; angles 90.00, 90.00, 90.00 degrees
Closest atoms and distances in Å follow each position.
Space group F-43m (No. 216)
Unique sites:
Lu 0.0000 0.0000 0.0000  4 Pt 2.92, 4 Au 2.92
Mg 0.0000 0.0000 0.5000  4 Pt 2.92, 4 Au 2.92
Pt 0.2500 0.2500 0.7500  4 Mg 2.92, 4 Lu 2.92
Au 0.2500 0.2500 0.2500  4 Mg 2.92, 4 Lu 2.92

***

6.
LuMgRhAu: optimized geometry, PBE.

Values from the calculation:
Total magnetization (μB per formula unit): 0.00
Raw total energy (eV for the cell shown): -78.7

Cell lengths 6.6754, 6.6754, 6.6754 Å; angles 90.00, 90.00, 90.00 degrees
Closest atoms and distances in Å follow each position.
Space group F-43m (No. 216)
Unique sites:
Lu 0.0000 0.0000 0.0000  4 Rh 2.89, 4 Au 2.89
Mg 0.0000 0.0000 0.5000  4 Rh 2.89, 4 Au 2.89
Rh 0.2500 0.2500 0.7500  4 Mg 2.89, 4 Lu 2.89
Au 0.2500 0.2500 0.2500  4 Mg 2.89, 4 Lu 2.89

***

7.
LuMgSbAu: optimized geometry, PBE.

Values from the calculation:
Total magnetization (μB per formula unit): 0.00
Raw total energy (eV for the cell shown): -62.6

Cell lengths 7.1322, 7.1322, 7.1322 Å; angles 90.00, 90.00, 90.00 degrees
Closest atoms and distances in Å follow each position.
Space group F-43m (No. 216)
Unique sites:
Lu 0.0000 0.0000 0.0000  4 Sb 3.09, 4 Au 3.09
Mg 0.0000 0.0000 0.5000  4 Au 3.09, 4 Sb 3.09
Sb 0.2500 0.2500 0.7500  4 Mg 3.09, 4 Lu 3.09
Au 0.2500 0.2500 0.2500  4 Lu 3.09, 4 Mg 3.09

***

8.
LuMgSiAu: optimized geometry, PBE.

Values from the calculation:
Total magnetization (μB per formula unit): 0.00
Raw total energy (eV for the cell shown): -67.8

Cell lengths 6.8057, 6.8057, 6.8057 Å; angles 90.00, 90.00, 90.00 degrees
Closest atoms and distances in Å follow each position.
Space group F-43m (No. 216)
Unique sites:
Lu 0.0000 0.0000 0.0000  4 Au 2.95, 4 Si 2.95
Mg 0.0000 0.0000 0.5000  4 Si 2.95, 4 Au 2.95
Si 0.2500 0.2500 0.7500  4 Mg 2.95, 4 Lu 2.95
Au 0.2500 0.2500 0.2500  4 Mg 2.95, 4 Lu 2.95

***

9.
SmLuMgAu: optimized geometry, PBE.

Values from the calculation:
Total magnetization (μB per formula unit): 0.00
Raw total energy (eV for the cell shown): -62.8

Cell lengths 7.3518, 7.3518, 7.3518 Å; angles 90.00, 90.00, 90.00 degrees
Closest atoms and distances in Å follow each position.
Space group F-43m (No. 216)
Unique sites:
Sm 0.0000 0.0000 0.0000  4 Au 3.18, 4 Mg 3.18
Lu 0.0000 0.0000 0.5000  4 Mg 3.18, 4 Au 3.18
Mg 0.2500 0.2500 0.2500  4 Sm 3.18, 4 Lu 3.18
Au 0.2500 0.2500 0.7500  4 Lu 3.18, 4 Sm 3.18

***

10.
LuMgTlAu: optimized geometry, PBE.

Values from the calculation:
Total magnetization (μB per formula unit): 0.00
Raw total energy (eV for the cell shown): -54.6

Cell lengths 7.0562, 7.0562, 7.0562 Å; angles 90.00, 90.00, 90.00 degrees
Closest atoms and distances in Å follow each position.
Space group F-43m (No. 216)
Unique sites:
Lu 0.0000 0.0000 0.0000  4 Tl 3.06, 4 Au 3.06
Mg 0.0000 0.0000 0.5000  4 Au 3.06, 4 Tl 3.06
Tl 0.2500 0.2500 0.7500  4 Mg 3.06, 4 Lu 3.06
Au 0.2500 0.2500 0.2500  4 Lu 3.06, 4 Mg 3.06

***

11.
LuMnAu2: optimized geometry, PBE.

Values from the calculation:
Total magnetization (μB per formula unit): 4.22
Raw total energy (eV for the cell shown): -88.7

Cell lengths 6.7684, 6.7684, 6.7684 Å; angles 90.00, 90.00, 90.00 degrees
Closest atoms and distances in Å follow each position.
Space group Fm-3m (No. 225)
Unique sites:
Lu 0.0000 0.0000 0.0000  8 Au 2.93
Mn 0.0000 0.0000 0.5000  8 Au 2.93
Au 0.2500 0.2500 0.2500  4 Mn 2.93, 4 Lu 2.93

***

12.
Lu2MnAu: optimized geometry, PBE.

Values from the calculation:
Energy relative to the lowest polymorph listed for this composition (meV per atom): 0
Total magnetization (μB per formula unit): 2.97

Cell lengths 3.4693, 3.4693, 7.0185 Å; angles 90.00, 90.00, 90.00 degrees
Closest atoms and distances in Å follow each position.
Space group P4/mmm (No. 123)
Unique sites:
Lu 0.0000 0.0000 0.2438  4 Mn 2.99, 4 Au 3.04
Mn 0.5000 0.5000 0.0000  8 Lu 2.99
Au 0.5000 0.5000 0.5000  8 Lu 3.04